Record 1
Density functional theory data (SCAN) for a crystal of Sr3InN3 relaxed with PBEsol.

Summary:
Uncorrected formation energy   -4.32 eV per formula unit
E_tot   -264.80 eV per cell
SG   No. 176

Lattice parameters (Å, degrees): 5.3977 7.7348 7.7348 120.00 90.00 90.00
Atoms (fractional coordinates):
N 0.2500 0.3061 0.3809
N 0.7500 0.3809 0.0748
N 0.7500 0.6939 0.6191
N 0.2500 0.0748 0.6939
N 0.2500 0.6191 0.9252
N 0.7500 0.9252 0.3061
Sr 0.2500 0.9308 0.2799
Sr 0.7500 0.0692 0.7201
Sr 0.7500 0.6509 0.9308
Sr 0.2500 0.7201 0.6509
Sr 0.7500 0.2799 0.3491
Sr 0.2500 0.3491 0.0692
In 0.2500 0.3333 0.6667
In 0.7500 0.6667 0.3333

Record 2
Density functional theory data (SCAN) for a crystal of HfZnAu2F relaxed with PBEsol.

Summary:
Uncorrected formation energy   -0.76 eV per formula unit
E_tot   -218.81 eV per cell
SG   No. 123

Lattice parameters (Å, degrees): 3.5225 5.0333 5.0333 90.00 90.00 90.00
Atoms (fractional coordinates):
Au 0.0000 0.5000 0.0000
Au 0.0000 0.0000 0.5000
Hf 0.5000 0.5000 0.5000
F 0.0000 0.0000 0.0000
Zn 0.5000 0.0000 0.0000

Record 3
Density functional theory data (SCAN) for a crystal of RbZr2TiCr relaxed with PBEsol.

Summary:
E_tot   -106.00 eV per cell
SG   No. 123

Lattice parameters (Å, degrees): 4.4746 4.9462 4.9462 90.00 90.00 90.00
Atoms (fractional coordinates):
Ti 0.5000 0.5000 0.5000
Rb 0.0000 0.0000 0.0000
Zr 0.0000 0.5000 0.0000
Zr 0.0000 0.0000 0.5000
Cr 0.5000 0.0000 0.0000

Record 4
Density functional theory data (SCAN) for a crystal of Zr2Ni3 relaxed with PBEsol.

Summary:
E_tot   -224.34 eV per cell
SG   No. 43

Lattice parameters (Å, degrees): 5.0703 5.0703 6.7884 103.43 103.43 112.21
Atoms (fractional coordinates):
Ni 0.0094 0.0094 0.0000
Ni 0.4130 0.5109 0.2131
Ni 0.2594 0.7594 0.5000
Ni 0.2977 0.1999 0.7869
Ni 0.7609 0.1630 0.7131
Ni 0.4499 0.0477 0.2869
Zr 0.4136 0.7742 0.9080
Zr 0.0242 0.1636 0.4080
Zr 0.8662 0.5056 0.0920
Zr 0.7556 0.6162 0.5920

Record 5
Density functional theory data (SCAN) for a crystal of CrPbAu2 relaxed with PBEsol.

Summary:
E_tot   -232.19 eV per cell
SG   No. 166

Lattice parameters (Å, degrees): 3.2360 3.2360 8.9035 79.53 79.53 60.00
Atoms (fractional coordinates):
Au 0.7610 0.7610 0.7171
Au 0.2390 0.2390 0.2829
Pb 0.0000 0.0000 0.0000
Cr 0.5000 0.5000 0.5000

Record 6
Density functional theory data (SCAN) for a crystal of BeMoOs2 relaxed with PBEsol.

Summary:
E_tot   -182.94 eV per cell
SG   No. 25

Lattice parameters (Å, degrees): 2.7185 3.8563 5.0616 90.00 89.99 90.00
Atoms (fractional coordinates):
Os 0.0003 0.0000 0.9992
Os 0.5001 0.5000 0.2719
Mo 0.4999 0.5000 0.7408
Be 0.9997 0.0000 0.4881

Record 7
Density functional theory data (SCAN) for a crystal of Ti3BMo relaxed with PBEsol.

Summary:
E_tot   -90.10 eV per cell
SG   No. 221

Lattice parameters (Å, degrees): 4.2074 4.2074 4.2074 90.00 90.00 90.00
Atoms (fractional coordinates):
Mo 0.5000 0.5000 0.5000
B 0.0000 0.0000 0.0000
Ti 0.5000 0.0000 0.0000
Ti 0.0000 0.5000 0.0000
Ti 0.0000 0.0000 0.5000

Record 8
Density functional theory data (SCAN) for a crystal of SrOsPt2 relaxed with PBEsol.

Summary:
Energy above the most stable polymorph in this dataset   0 meV/atom
E_tot   -234.33 eV per cell
SG   No. 6

Lattice parameters (Å, degrees): 2.7894 4.6112 5.6313 90.00 98.84 90.00
Atoms (fractional coordinates):
Sr 0.4637 0.0000 0.4610
Pt 0.9100 0.5000 0.2464
Pt 0.8485 0.0000 0.9494
Os 0.2778 0.5000 0.8431

Record 9
Density functional theory data (SCAN) for a crystal of Cd2OsSe relaxed with PBEsol.

Summary:
Uncorrected formation energy   0.99 eV per formula unit
E_tot   -151.79 eV per cell
SG   No. 99

Lattice parameters (Å, degrees): 2.9912 2.9912 8.5273 90.00 90.00 90.00
Atoms (fractional coordinates):
Os 0.0000 0.0000 0.5250
Cd 0.0000 0.0000 0.0108
Cd 0.5000 0.5000 0.2831
Se 0.5000 0.5000 0.6811

Record 10
Density functional theory data (SCAN) for a crystal of LiNi2Cl relaxed with PBEsol.

Summary:
Energy above the most stable polymorph in this dataset   386 meV/atom
Uncorrected formation energy   0.83 eV per formula unit
E_tot   -41.88 eV per cell
SG   No. 123

Lattice parameters (Å, degrees): 3.0714 3.0714 5.0901 90.00 90.00 90.00
Atoms (fractional coordinates):
Li 0.5000 0.5000 0.5000
Ni 0.0000 0.0000 0.7399
Ni 0.0000 0.0000 0.2601
Cl 0.5000 0.5000 0.0000

Record 11
Density functional theory data (SCAN) for a crystal of GaHSe2 relaxed with PBEsol.

Summary:
E_tot   -57.50 eV per cell
SG   No. 166

Lattice parameters (Å, degrees): 2.8926 2.8926 8.6108 80.33 80.33 60.00
Atoms (fractional coordinates):
Ga 0.0000 0.0000 0.0000
H 0.5000 0.5000 0.5000
Se 0.8933 0.8933 0.3202
Se 0.1067 0.1067 0.6798

Record 12
Density functional theory data (SCAN) for a crystal of Ca2RuCl relaxed with PBEsol.

Summary:
Energy above the most stable polymorph in this dataset   36 meV/atom
Uncorrected formation energy   -2.81 eV per formula unit
E_tot   -64.94 eV per cell
SG   No. 166

Lattice parameters (Å, degrees): 3.5284 3.5284 8.2631 77.67 77.67 60.00
Atoms (fractional coordinates):
Ca 0.7540 0.7540 0.7379
Ca 0.2460 0.2460 0.2621
Ru 0.5000 0.5000 0.5000
Cl 0.0000 0.0000 0.0000

Record 13
Density functional theory data (SCAN) for a crystal of ScBSb2I relaxed with PBEsol.

Summary:
Uncorrected formation energy   2.85 eV per formula unit
E_tot   -130.08 eV per cell
SG   No. 123

Lattice parameters (Å, degrees): 4.7273 4.7273 5.1843 90.00 90.00 90.00
Atoms (fractional coordinates):
I 0.0000 0.0000 0.5000
Sb 0.0000 0.5000 0.0000
Sb 0.5000 0.0000 0.0000
Sc 0.5000 0.5000 0.5000
B 0.0000 0.0000 0.0000

Record 14
Density functional theory data (SCAN) for a crystal of Tc2Se relaxed with PBEsol.

Summary:
Energy above the most stable polymorph in this dataset   421 meV/atom
Uncorrected formation energy   1.74 eV per formula unit
E_tot   -176.92 eV per cell
SG   No. 140

Lattice parameters (Å, degrees): 4.8696 4.8696 4.8696 108.14 110.14 110.14
Atoms (fractional coordinates):
Tc 0.8143 0.6572 0.1572
Tc 0.1857 0.3428 0.8428
Tc 0.5000 0.8428 0.6572
Tc 0.5000 0.1572 0.3428
Se 0.0000 0.7500 0.7500
Se 0.0000 0.2500 0.2500

Record 15
Density functional theory data (SCAN) for a crystal of RePt3 relaxed with PBEsol.

Summary:
E_tot   -281.99 eV per cell
SG   No. 47

Lattice parameters (Å, degrees): 2.7533 3.9107 5.4790 90.00 90.00 90.00
Atoms (fractional coordinates):
Pt 0.5000 0.5000 0.5000
Pt 0.0000 0.0000 0.7596
Pt 0.0000 0.0000 0.2404
Re 0.5000 0.5000 0.0000

Record 16
Density functional theory data (SCAN) for a crystal of RbMnTc3 relaxed with PBEsol.

Summary:
E_tot   -128.17 eV per cell
SG   No. 221

Lattice parameters (Å, degrees): 4.5553 4.5553 4.5553 90.00 90.00 90.00
Atoms (fractional coordinates):
Rb 0.0000 0.0000 0.0000
Mn 0.5000 0.5000 0.5000
Tc 0.0000 0.0000 0.5000
Tc 0.5000 0.0000 0.0000
Tc 0.0000 0.5000 0.0000

Record 17
Density functional theory data (SCAN) for a crystal of CaCdHg2 relaxed with PBEsol.

Summary:
E_tot   -177.86 eV per cell
SG   No. 99

Lattice parameters (Å, degrees): 3.8148 3.8148 6.5739 90.00 90.00 90.00
Atoms (fractional coordinates):
Hg 0.5000 0.5000 0.2423
Hg 0.0000 0.0000 0.9902
Cd 0.5000 0.5000 0.7770
Ca 0.0000 0.0000 0.4906

Record 18
Density functional theory data (SCAN) for a crystal of BaNiP relaxed with PBEsol.

Summary:
E_tot   -64.07 eV per cell
SG   No. 216

Lattice parameters (Å, degrees): 4.9248 4.9248 4.9248 60.00 60.00 60.00
Atoms (fractional coordinates):
Ni 0.0000 0.0000 0.0000
P 0.5000 0.5000 0.5000
Ba 0.2500 0.2500 0.2500

Record 19
Density functional theory data (SCAN) for a crystal of BaTlBr2 relaxed with PBEsol.

Summary:
Energy above the most stable polymorph in this dataset   58 meV/atom
Uncorrected formation energy   -5.71 eV per formula unit
E_tot   -156.54 eV per cell
SG   No. 225

Lattice parameters (Å, degrees): 5.6064 5.6064 5.6064 60.00 60.00 60.00
Atoms (fractional coordinates):
Br 0.2500 0.2500 0.2500
Br 0.7500 0.7500 0.7500
Ba 0.0000 0.0000 0.0000
Tl 0.5000 0.5000 0.5000

Record 20
Density functional theory data (SCAN) for a crystal of NiF2 relaxed with PBEsol.

Summary:
Uncorrected formation energy   -6.91 eV per formula unit
E_tot   -60.32 eV per cell
SG   No. 136

Lattice parameters (Å, degrees): 3.0694 4.6006 4.6006 90.00 90.00 90.00
Atoms (fractional coordinates):
F 0.5000 0.1960 0.8040
F 0.0000 0.6960 0.6960
F 0.0000 0.3040 0.3040
F 0.5000 0.8040 0.1960
Ni 0.5000 0.5000 0.5000
Ni 0.0000 0.0000 0.0000